# 1
Crystalline Sm5Y6Tm at its relaxed geometry. Source: the Alexandria database, functional GGA-PBE.

As for the density of states at the Fermi level: 1.33 states/eV per atom. As for the electronic total energy: -5.555 eV per atom. The crystal system is monoclinic.

The space group is C2/m (No. 12) and the conventional cell measures 6.2190, 10.7637 and 11.8594 Å, with angles of 90.00, 100.01 and 90.00 degrees. The asymmetric unit holds Sm at (0.0000, 0.0000, 0.0000), Sm at (0.0000, 0.1666, 0.5000), Sm at (0.0000, 0.3335, 0.0000), Y at (0.2493, 0.3336, 0.7490), Y at (0.2504, 0.0000, 0.7491) and Tm at (0.0000, 0.5000, 0.5000).

=====

# 2
Crystalline Sm3Y6Tm at its relaxed geometry. Source: the Alexandria database, functional GGA-PBE.

As for the density of states at the Fermi level: 1.47 states/eV per atom. The calculation puts the energy relative to the lowest polymorph listed for this composition at 0 meV per atom. As for the electronic total energy: -5.597 eV per atom. The crystal system is orthorhombic.

The space group is Cmc2_1 (No. 36) and the conventional cell measures 10.9681, 18.9405 and 6.3537 Å, with angles of 90.00, 90.00 and 90.00 degrees. The asymmetric unit holds Sm at (0.0000, 0.1116, 0.0000), Sm at (0.1728, 0.3878, 0.6120), Y at (0.0000, 0.2258, 0.4162), Y at (0.0000, 0.4561, 0.1823), Y at (0.1656, 0.0452, 0.5222), Y at (0.2409, 0.2086, 0.7043) and Tm at (0.0000, 0.2996, 0.9301).

=====

# 3
Crystalline Sm7YTm3 at its relaxed geometry. Source: the Alexandria database, functional GGA-PBE.

As for the density of states at the Fermi level: 1.47 states/eV per atom. The calculation puts the energy relative to the lowest polymorph listed for this composition at 0 meV per atom. As for the electronic total energy: -4.688 eV per atom. The crystal system is monoclinic.

The space group is P2/m (No. 10) and the conventional cell measures 7.0581, 5.5965 and 9.9230 Å, with angles of 90.00, 110.27 and 90.00 degrees. The asymmetric unit holds Sm at (0.0000, 0.0000, 0.0000), Sm at (0.1471, 0.5000, 0.2920), Sm at (0.3228, 0.5000, 0.6413), Sm at (0.4191, 0.0000, 0.8301), Y at (0.0000, 0.0000, 0.5000), Tm at (0.2789, 0.5000, 0.9985) and Tm at (0.5000, 0.0000, 0.5000).

=====

# 4
Crystalline SmY2Tm3 at its relaxed geometry. Source: the Alexandria database, functional GGA-PBE.

As for the density of states at the Fermi level: 1.69 states/eV per atom. The calculation puts the energy relative to the lowest polymorph listed for this composition at 329 meV per atom. As for the electronic total energy: -4.821 eV per atom. The crystal system is orthorhombic.

The space group is Cmcm (No. 63) and the conventional cell measures 14.6585, 10.0433 and 5.5533 Å, with angles of 90.00, 90.00 and 90.00 degrees. The asymmetric unit holds Sm at (0.0000, 0.2389, 0.2500), Y at (0.1108, 0.0988, 0.7500), Tm at (0.0000, 0.4099, 0.7500) and Tm at (0.2367, 0.3732, 0.7500).

=====

# 5
Crystalline Sm2Y2Tm3 at its relaxed geometry. Source: the Alexandria database, functional GGA-PBE.

As for the density of states at the Fermi level: 1.74 states/eV per atom. The calculation puts the energy relative to the lowest polymorph listed for this composition at 0 meV per atom. As for the electronic total energy: -4.902 eV per atom. The crystal system is monoclinic.

The space group is P2_1/c (No. 14) and the conventional cell measures 6.4002, 10.9873 and 6.4999 Å, with angles of 90.00, 94.19 and 90.00 degrees. The asymmetric unit holds Sm at (0.0530, 0.1493, 0.4614), Y at (0.3815, 0.7323, 0.7386), Tm at (0.2472, 0.0426, 0.9604) and Tm at (0.5000, 0.0000, 0.5000).

=====

# 6
Crystalline Sm5YTm at its relaxed geometry. Source: the Alexandria database, functional GGA-PBE.

As for the density of states at the Fermi level: 1.21 states/eV per atom. The calculation puts the energy relative to the lowest polymorph listed for this composition at 0 meV per atom. As for the electronic total energy: -4.746 eV per atom. The crystal system is monoclinic.

The space group is C2/m (No. 12) and the conventional cell measures 6.9463, 10.3840 and 7.0407 Å, with angles of 90.00, 108.43 and 90.00 degrees. The asymmetric unit holds Sm at (0.0000, 0.0000, 0.0000), Sm at (0.1921, 0.2855, 0.7324), Y at (0.0000, 0.0000, 0.5000) and Tm at (0.0000, 0.5000, 0.0000).

=====

# 7
Crystalline Sm7YTm2 at its relaxed geometry. Source: the Alexandria database, functional GGA-PBE.

As for the density of states at the Fermi level: 1.48 states/eV per atom. The calculation puts the energy relative to the lowest polymorph listed for this composition at 640 meV per atom. As for the electronic total energy: -4.186 eV per atom. The crystal system is orthorhombic.

The space group is Cmmm (No. 65) and the conventional cell measures 8.7920, 16.4258 and 5.6184 Å, with angles of 90.00, 90.00 and 90.00 degrees. The asymmetric unit holds Sm at (0.0000, 0.0000, 0.0000), Sm at (0.0000, 0.2845, 0.5000), Sm at (0.1783, 0.3866, 0.0000), Y at (0.0000, 0.5000, 0.5000) and Tm at (0.0000, 0.2050, 0.0000).

=====

# 8
Crystalline Sm3Y4Tm3 at its relaxed geometry. Source: the Alexandria database, functional GGA-PBE.

As for the density of states at the Fermi level: 0.79 states/eV per atom. As for the electronic total energy: -5.228 eV per atom. The crystal system is orthorhombic.

The space group is Amm2 (No. 38) and the conventional cell measures 3.6854, 13.2437 and 13.3012 Å, with angles of 90.00, 90.00 and 90.00 degrees. The asymmetric unit holds Sm at (0.0000, 0.0000, 0.0000), Sm at (0.0000, 0.1730, 0.6718), Y at (0.5000, 0.0000, 0.5447), Y at (0.5000, 0.0000, 0.7991), Y at (0.5000, 0.1259, 0.1746), Tm at (0.0000, 0.0000, 0.3456) and Tm at (0.5000, 0.2465, 0.4208).

=====

# 9
Crystalline Sm3YTm at its relaxed geometry. Source: the Alexandria database, functional GGA-PBE.

As for the density of states at the Fermi level: 1.74 states/eV per atom. The calculation puts the energy relative to the lowest polymorph listed for this composition at 0 meV per atom. As for the electronic total energy: -5.002 eV per atom. The crystal system is triclinic.

The space group is P-1 (No. 2) and the conventional cell measures 6.3205, 6.7946 and 9.3021 Å, with angles of 71.88, 89.94 and 62.32 degrees. The asymmetric unit holds Sm at (0.0686, 0.1973, 0.0501), Sm at (0.2683, 0.7987, 0.4494), Sm at (0.3321, 0.9992, 0.7505), Y at (0.1335, 0.4016, 0.3479) and Tm at (0.4641, 0.4018, 0.8514).

=====

# 10
Crystalline Sm12YTm3 at its relaxed geometry. Source: the Alexandria database, functional GGA-PBE.

As for the density of states at the Fermi level: 1.48 states/eV per atom. As for the electronic total energy: -4.765 eV per atom. The crystal system is tetragonal.

The space group is P4/mmm (No. 123) and the conventional cell measures 5.0947, 5.0947 and 20.3415 Å, with angles of 90.00, 90.00 and 90.00 degrees. The asymmetric unit holds Sm at (0.0000, 0.0000, 0.0000), Sm at (0.0000, 0.0000, 0.2491), Sm at (0.0000, 0.0000, 0.5000), Sm at (0.0000, 0.5000, 0.1246), Sm at (0.0000, 0.5000, 0.3738), Y at (0.5000, 0.5000, 0.5000), Tm at (0.5000, 0.5000, 0.0000) and Tm at (0.5000, 0.5000, 0.2492).

=====

# 11
Crystalline SmY2Tm5 at its relaxed geometry. Source: the Alexandria database, functional GGA-PBE.

As for the density of states at the Fermi level: 1.77 states/eV per atom. The calculation puts the energy relative to the lowest polymorph listed for this composition at 0 meV per atom. As for the electronic total energy: -4.998 eV per atom. The crystal system is triclinic.

The space group is P-1 (No. 2) and the conventional cell measures 6.2314, 6.6581 and 12.1644 Å, with angles of 95.28, 90.03 and 90.03 degrees. The asymmetric unit holds Sm at (0.1677, 0.0651, 0.1911), Y at (0.1664, 0.3123, 0.9359), Y at (0.3345, 0.8089, 0.9359), Tm at (0.1660, 0.5595, 0.6837), Tm at (0.1667, 0.8135, 0.4389), Tm at (0.3335, 0.0618, 0.6840), Tm at (0.3348, 0.3148, 0.4386) and Tm at (0.3345, 0.5645, 0.1914).

=====

# 12
Crystalline Sm4Y6Tm at its relaxed geometry. Source: the Alexandria database, functional GGA-PBE.

As for the density of states at the Fermi level: 1.89 states/eV per atom. The calculation puts the energy relative to the lowest polymorph listed for this composition at 0 meV per atom. As for the electronic total energy: -5.527 eV per atom. The crystal system is orthorhombic.

The space group is Cmcm (No. 63) and the conventional cell measures 5.7491, 9.7052 and 25.8554 Å, with angles of 90.00, 90.00 and 90.00 degrees. The asymmetric unit holds Sm at (0.0000, 0.0280, 0.1218), Sm at (0.0000, 0.3426, 0.0441), Y at (0.0000, 0.0000, 0.0000), Y at (0.0000, 0.0170, 0.2500), Y at (0.0000, 0.3113, 0.6065), Y at (0.0000, 0.3537, 0.1827) and Tm at (0.0000, 0.3170, 0.7500).